ScBeW: optimized geometry, PBE.

a = 4.298 Å, b = 4.298 Å, c = 4.298 Å
α = 60.00°, β = 60.00°, γ = 60.00°
Positions (direct):
Be 0.250 0.250 0.250
Sc 0.750 0.750 0.750
W 0.000 0.000 0.000

Space group: No. 216
Energy above the lowest structure with this stoichiometry (meV per atom): 0
Uncorrected energy (eV for the cell shown): -19.067